1.
Material: SrCaNdIn
Method: DFT, GGA-PBE
State: optimized geometry

extended XYZ file:
```
4
Lattice="5.797 0.000 0.000 2.898 5.020 0.000 2.898 1.673 4.733" Properties=species:S:1:pos:R:3 pbc="T T T"
Sr 8.695 5.020 3.550
Ca 5.797 3.347 2.367
Nd 2.898 1.673 1.183
In 0.000 0.000 0.000
```

Values from the calculation:
Energy ... -11.78 eV/f.u.
Space-group type ... F-43m, No. 216
Mass density ... 4.663 g cm⁻³
Calculated formation energy ... -0.1466 eV/atom

2.
Material: MgBe2RuBr
Method: DFT, GGA-PBE
State: optimized geometry

extended XYZ file:
```
5
Lattice="4.314 0.000 0.000 0.000 4.742 0.000 0.000 0.000 4.314" Properties=species:S:1:pos:R:3 pbc="T T T"
Ru 0.000 2.371 0.000
Mg 2.157 2.371 2.157
Br 0.000 0.000 0.000
Be 0.000 0.000 2.157
Be 2.157 0.000 0.000
```

Values from the calculation:
Energy ... -13.73 eV/f.u.
Formation energy (no corrections) ... 1.254 eV per atom
Space-group type ... P4/mmm, No. 123
Mass density ... 4.201 g cm⁻³

3.
Material: MgCdTe
Method: DFT, GGA-PBE
State: optimized geometry

extended XYZ file:
```
3
Lattice="4.974 0.000 0.000 2.487 4.308 0.000 2.487 1.436 4.062" Properties=species:S:1:pos:R:3 pbc="T T T"
Cd 4.974 2.872 2.031
Mg 2.487 1.436 1.015
Te 0.000 0.000 0.000
```

Values from the calculation:
Excess energy over the best structure of this formula in the dataset ... 56 meV per atom
Energy ... -6.39 eV/f.u.
Formation energy (no corrections) ... -0.245 eV per atom
Space-group type ... F-43m, No. 216
Mass density ... 5.043 g cm⁻³

4.
Material: Na3Ce3CuSe8
Method: DFT, GGA-PBE
State: optimized geometry

extended XYZ file:
```
15
Lattice="8.425 0.000 0.000 -4.212 7.096 -0.019 0.000 -4.700 6.975" Properties=species:S:1:pos:R:3 pbc="T T T"
Na 0.000 0.000 0.000
Na -2.106 3.548 -0.009
Na 2.106 3.548 -0.009
Ce 4.212 -2.350 3.487
Ce 2.106 1.198 3.478
Ce -2.106 1.198 3.478
Cu 0.000 -2.350 3.487
Se 0.000 2.356 1.816
Se 4.212 0.040 5.140
Se 4.212 2.676 2.088
Se 0.000 -0.280 4.868
Se 6.254 -1.146 1.891
Se -2.042 3.542 5.065
Se 2.171 -1.146 1.891
Se 2.042 3.542 5.065
```

Values from the calculation:
Energy ... -73.00 eV/f.u.
Formation energy (no corrections) ... -1.284 eV per atom
Space-group type ... C2/m, No. 12
Mass density ... 4.726 g cm⁻³

5.
Material: Sm8PtSe4S3
Method: DFT, GGA-PBE
State: optimized geometry

extended XYZ file:
```
16
Lattice="8.216 0.000 0.000 0.000 8.287 0.044 -4.108 -4.104 5.813" Properties=species:S:1:pos:R:3 pbc="T T T"
Sm -2.060 2.022 5.787
Sm 0.000 4.080 2.872
Sm 0.000 0.127 2.993
Sm 2.060 2.022 5.787
Sm 2.048 2.161 0.070
Sm 4.108 4.056 2.864
Sm 4.108 0.103 2.985
Sm 6.168 2.161 0.070
Pt 0.000 4.144 0.022
Se 4.108 0.000 0.000
Se 2.054 -2.052 2.907
Se 0.000 0.000 0.000
Se -2.054 -2.052 2.907
S 4.108 4.144 0.022
S 2.054 2.092 2.929
S -2.054 2.092 2.929
```

Values from the calculation:
Energy ... -99.31 eV/f.u.
Formation energy (no corrections) ... -1.825 eV per atom
Space-group type ... R-3m, No. 166
Mass density ... 7.565 g cm⁻³

6.
Material: ZnAg2P
Method: DFT, GGA-PBE
State: optimized geometry

extended XYZ file:
```
4
Lattice="-3.496 -2.662 1.284 -1.930 0.581 4.110 -4.216 1.756 0.321" Properties=species:S:1:pos:R:3 pbc="T T T"
P 0.000 0.000 0.000
Zn -4.821 -0.162 2.858
Ag -2.411 -0.081 1.429
Ag -7.232 -0.243 4.287
```

Values from the calculation:
Excess energy over the best structure of this formula in the dataset ... 100 meV per atom
Energy ... -11.33 eV/f.u.
Space-group type ... Fm-3m, No. 225
Mass density ... 7.640 g cm⁻³
Calculated formation energy ... 0.2633 eV/atom

7.
Material: LiBeV
Method: DFT, GGA-PBE
State: optimized geometry

extended XYZ file:
```
6
Lattice="3.194 -1.844 0.000 0.000 3.688 0.000 0.000 0.000 9.392" Properties=species:S:1:pos:R:3 pbc="T T T"
Be 0.000 0.000 2.348
Be 0.000 0.000 7.044
V 0.000 0.000 0.000
V 0.000 0.000 4.696
Li 1.065 1.844 2.348
Li 2.129 0.000 7.044
```

Values from the calculation:
Excess energy over the best structure of this formula in the dataset ... 1320 meV per atom
Energy ... -10.38 eV/f.u.
Space-group type ... P6_3/mmc, No. 194
Mass density ... 2.008 g cm⁻³
Calculated formation energy ... 1.4609 eV/atom

8.
Material: HfFeCl3
Method: DFT, GGA-PBE
State: optimized geometry

extended XYZ file:
```
5
Lattice="4.997 0.000 0.000 0.000 4.997 0.000 0.000 0.000 4.997" Properties=species:S:1:pos:R:3 pbc="T T T"
Hf 0.000 0.000 0.000
Fe 2.498 2.498 2.498
Cl 0.000 2.498 0.000
Cl 0.000 0.000 2.498
Cl 2.498 0.000 0.000
```

Values from the calculation:
Excess energy over the best structure of this formula in the dataset ... 0 meV per atom
Energy ... -25.14 eV/f.u.
Formation energy (no corrections) ... -0.237 eV per atom
Space-group type ... Pm-3m, No. 221
Mass density ... 4.535 g cm⁻³

9.
Material: RbSnMo
Method: DFT, GGA-PBE
State: optimized geometry

extended XYZ file:
```
6
Lattice="-1.967 1.227 2.642 5.277 -0.723 4.263 -0.428 8.928 -2.122" Properties=species:S:1:pos:R:3 pbc="T T T"
Mo 1.072 8.897 0.177
Mo 1.810 0.535 4.606
Sn 3.190 2.134 2.553
Sn -0.308 7.298 2.231
Rb 3.189 5.965 3.117
Rb -0.308 3.468 1.667
```

Values from the calculation:
Energy ... -14.50 eV/f.u.
Space-group type ... C2/m, No. 12
Mass density ... 4.814 g cm⁻³
Calculated formation energy ... 0.4350 eV/atom

10.
Material: CdBPC2
Method: DFT, GGA-PBE
State: optimized geometry

extended XYZ file:
```
5
Lattice="-3.436 0.279 0.694 -0.235 -4.878 0.800 0.729 0.523 3.400" Properties=species:S:1:pos:R:3 pbc="T T T"
P -0.118 -2.439 0.400
C 0.365 0.261 1.700
C -1.718 0.140 0.347
B 0.000 0.000 0.000
Cd -1.471 -2.038 2.447
```

Values from the calculation:
Energy ... -21.95 eV/f.u.
Space-group type ... P4/mmm, No. 123
Mass density ... 4.836 g cm⁻³
Calculated formation energy ... 1.8991 eV/atom

11.
Material: Li3Tb3PaSe8
Method: DFT, GGA-PBE
State: optimized geometry

extended XYZ file:
```
15
Lattice="-1.255 -5.098 6.331 7.547 0.865 -3.150 -3.443 5.985 4.137" Properties=species:S:1:pos:R:3 pbc="T T T"
Li 0.000 0.000 0.000
Li 3.774 0.432 -1.575
Li 3.146 -2.116 1.591
Tb -2.349 0.444 5.234
Tb 1.425 0.876 3.659
Tb 2.052 3.425 0.493
Pa -1.721 2.993 2.068
Se 2.594 0.636 1.026
Se 0.256 1.116 6.292
Se 1.998 -1.900 4.209
Se 0.851 3.652 3.109
Se 5.728 -1.473 2.652
Se -2.878 3.225 4.666
Se 6.362 1.106 -0.551
Se -3.513 0.646 7.869
```

Values from the calculation:
Energy ... -81.17 eV/f.u.
Formation energy (no corrections) ... -1.611 eV per atom
Space-group type ... R-3m, No. 166
Mass density ... 5.935 g cm⁻³

12.
Material: CoHgTe2N
Method: DFT, GGA-PBE
State: optimized geometry

extended XYZ file:
```
5
Lattice="-4.973 -1.560 2.413 1.771 -5.463 0.117 1.558 0.582 3.586" Properties=species:S:1:pos:R:3 pbc="T T T"
Te 0.885 -2.731 0.059
Te -2.487 -0.780 1.207
Co -0.822 -3.221 3.058
Hg 0.000 0.000 0.000
N 0.779 0.291 1.793
```

Values from the calculation:
Excess energy over the best structure of this formula in the dataset ... 1376 meV per atom
Energy ... -13.58 eV/f.u.
Formation energy (no corrections) ... 1.687 eV per atom
Space-group type ... P4/mmm, No. 123
Mass density ... 6.732 g cm⁻³

Q: Which formula does entry 1 have?
A: SrCaNdIn